# RbNpNiSe4 (PBE, relaxed)
# formation energy from raw total energies: -819 meV/atom
data_RbNpNiSe4
_space_group_name_H-M_alt 'P 1 21/m 1'
_space_group_IT_number 11
_space_group_name_Hall '-P 2yb'
_cell_length_a 6.9501
_cell_length_b 5.8237
_cell_length_c 9.6145
_cell_angle_alpha 90.00
_cell_angle_beta 105.31
_cell_angle_gamma 90.00
loop_
_atom_site_label
_atom_site_fract_x
_atom_site_fract_y
_atom_site_fract_z
_atom_site_occupancy
Rb1 0.2452 0.2500 0.0496 1
Np1 0.2642 0.2500 0.5495 1
Ni1 0.2516 0.7500 0.3452 1
Se1 0.0144 0.5080 0.7004 1
Se2 0.4216 0.7500 0.5859 1
Se3 0.4599 0.7500 0.1895 1